{"formula": "Ta2VZn2", "functional": "PBE", "state": "optimized geometry", "lattice_angstrom": [[6.7078, 0.0000, 0.0000], [0.0000, 6.7078, 0.0000], [0.0000, 0.0000, 3.5303]], "species": ["Ta", "Ta", "Ta", "Ta", "V", "V", "Zn", "Zn", "Zn", "Zn"], "fractional_positions": [[0.1764, 0.3236, 0.0000], [0.3236, 0.8236, 0.0000], [0.6764, 0.1764, 0.0000], [0.8236, 0.6764, 0.0000], [0.0000, 0.0000, 0.5000], [0.5000, 0.5000, 0.5000], [0.1263, 0.6263, 0.5000], [0.3737, 0.1263, 0.5000], [0.6263, 0.8737, 0.5000], [0.8737, 0.3737, 0.5000]], "dft_energy_ev_per_atom": -6.882, "sg": "P4/mbm, No. 127", "m_tot_mub_per_cell": 1.3, "formation_energy_mev_per_atom": 192}

=====

{"formula": "Zr2Sc3In4", "functional": "PBE", "state": "optimized geometry", "lattice_angstrom": [[4.6336, -2.3307, 0.0000], [4.6336, 2.3307, 0.0000], [-1.4026, 0.0000, 9.4308]], "species": ["Zr", "Zr", "Sc", "Sc", "Sc", "In", "In", "In", "In"], "fractional_positions": [[0.1571, 0.1571, 0.2211], [0.8429, 0.8429, 0.7789], [0.1758, 0.1758, 0.5670], [0.5000, 0.5000, 0.0000], [0.8242, 0.8242, 0.4330], [0.1730, 0.1730, 0.8950], [0.4952, 0.4952, 0.3383], [0.5048, 0.5048, 0.6617], [0.8270, 0.8270, 0.1050]], "dft_energy_ev_per_atom": -5.545, "sg": "C2/m, No. 12", "m_tot_mub_per_cell": 0.0, "formation_energy_mev_per_atom": -318}

=====

{"formula": "NaZnIr2Cl", "functional": "PBE", "state": "optimized geometry", "lattice_angstrom": [[4.8474, 0.0000, 0.0000], [0.0000, 4.8474, 0.0000], [0.0000, 0.0000, 4.5786]], "species": ["Na", "Zn", "Ir", "Ir", "Cl"], "fractional_positions": [[0.0000, 0.0000, 0.0000], [0.5000, 0.5000, 0.5000], [0.0000, 0.5000, 0.0000], [0.5000, 0.0000, 0.0000], [0.0000, 0.0000, 0.5000]], "dft_energy_ev_per_atom": -2.621, "sg": "P4/mmm, No. 123", "m_tot_mub_per_cell": 2.5, "raw_formation_energy_ev_per_atom": 1.81}

=====

{"formula": "Pm2Zn15Pd2", "functional": "PBE", "state": "optimized geometry", "lattice_angstrom": [[4.5150, 2.6067, 4.4221], [-4.5150, 2.6067, 4.4221], [0.0000, -5.2135, 4.4221]], "species": ["Pm", "Pm", "Zn", "Zn", "Zn", "Zn", "Zn", "Zn", "Zn", "Zn", "Zn", "Zn", "Zn", "Zn", "Zn", "Zn", "Zn", "Pd", "Pd"], "fractional_positions": [[0.1617, 0.1617, 0.1617], [0.8383, 0.8383, 0.8383], [0.0000, 0.5000, 0.5000], [0.1506, 0.1506, 0.6559], [0.1506, 0.6559, 0.1506], [0.2135, 0.5000, 0.7865], [0.2135, 0.7865, 0.5000], [0.3441, 0.8494, 0.8494], [0.5000, 0.0000, 0.5000], [0.5000, 0.2135, 0.7865], [0.5000, 0.5000, 0.0000], [0.5000, 0.7865, 0.2135], [0.6559, 0.1506, 0.1506], [0.7865, 0.2135, 0.5000], [0.7865, 0.5000, 0.2135], [0.8494, 0.3441, 0.8494], [0.8494, 0.8494, 0.3441], [0.3913, 0.3913, 0.3913], [0.6087, 0.6087, 0.6087]], "dft_energy_ev_per_atom": -2.391, "sg": "R-3m, No. 166", "m_tot_mub_per_cell": 0.0, "formation_energy_mev_per_atom": -338}

=====

{"formula": "Pr6Dy2HoTm3", "functional": "PBE", "state": "optimized geometry", "lattice_angstrom": [[3.1417, -5.4405, 0.0000], [3.1417, 5.4405, 0.0000], [-2.0901, 0.0000, 11.6339]], "species": ["Pr", "Pr", "Pr", "Pr", "Pr", "Pr", "Dy", "Dy", "Ho", "Tm", "Tm", "Tm"], "fractional_positions": [[0.0840, 0.4172, 0.7514], [0.2493, 0.2493, 0.2484], [0.4172, 0.0840, 0.7514], [0.5828, 0.9160, 0.2486], [0.7507, 0.7507, 0.7516], [0.9160, 0.5828, 0.2486], [0.3334, 0.6666, 0.5000], [0.6666, 0.3334, 0.5000], [0.0000, 0.0000, 0.5000], [0.1667, 0.8333, 0.0000], [0.5000, 0.5000, 0.0000], [0.8333, 0.1667, 0.0000]], "dft_energy_ev_per_atom": -4.642, "sg": "C2/m, No. 12", "m_tot_mub_per_cell": 0.0, "formation_energy_mev_per_atom": 14}

=====

{"formula": "Er6MgAl", "functional": "PBE", "state": "optimized geometry", "lattice_angstrom": [[4.7905, 0.0000, 0.0000], [0.0000, 4.7905, 0.0000], [0.0000, 0.0000, 9.6042]], "species": ["Er", "Er", "Er", "Er", "Er", "Er", "Mg", "Al"], "fractional_positions": [[0.0000, 0.0000, 0.0000], [0.0000, 0.0000, 0.5000], [0.0000, 0.5000, 0.2409], [0.0000, 0.5000, 0.7591], [0.5000, 0.0000, 0.2409], [0.5000, 0.0000, 0.7591], [0.5000, 0.5000, 0.5000], [0.5000, 0.5000, 0.0000]], "dft_energy_ev_per_atom": -4.168, "sg": "P4/mmm, No. 123", "m_tot_mub_per_cell": 0.0, "formation_energy_mev_per_atom": -79}

=====

Repeat the third record exactly.
{"formula": "NaZnIr2Cl", "functional": "PBE", "state": "optimized geometry", "lattice_angstrom": [[4.8474, 0.0000, 0.0000], [0.0000, 4.8474, 0.0000], [0.0000, 0.0000, 4.5786]], "species": ["Na", "Zn", "Ir", "Ir", "Cl"], "fractional_positions": [[0.0000, 0.0000, 0.0000], [0.5000, 0.5000, 0.5000], [0.0000, 0.5000, 0.0000], [0.5000, 0.0000, 0.0000], [0.0000, 0.0000, 0.5000]], "dft_energy_ev_per_atom": -2.621, "sg": "P4/mmm, No. 123", "m_tot_mub_per_cell": 2.5, "raw_formation_energy_ev_per_atom": 1.81}